P) The following is a PBEsol calculation of a relaxed structure of La5P3, from Alexandria.

Cell and atoms, written as POSCAR:
```
La5P3
1.0
-0.990 -1.675 -4.102
-2.333 -5.820 2.939
-5.154 4.582 -0.626
La P
5 3
Direct
0.000 0.000 0.000
0.000 0.000 0.500
0.000 0.500 0.000
0.500 0.278 0.278
0.500 0.722 0.722
0.000 0.500 0.500
0.500 0.816 0.184
0.500 0.184 0.816
```

Calculated values
As for the space group: Cmmm (65).

---

Q) The following is a PBEsol calculation of a relaxed structure of La5P3, from Alexandria.

Cell and atoms, written as POSCAR:
```
La5P3
1.0
-3.604 4.427 2.546
-6.936 -3.189 -4.274
1.971 -2.986 7.984
La P
10 6
Direct
0.000 0.667 0.333
0.500 0.333 0.667
0.000 0.333 0.667
0.500 0.667 0.333
0.750 0.737 0.737
0.250 0.263 0.263
0.750 0.000 0.263
0.750 0.263 0.000
0.250 0.737 0.000
0.250 0.000 0.737
0.750 0.379 0.379
0.250 0.621 0.621
0.750 0.000 0.621
0.750 0.621 0.000
0.250 0.379 0.000
0.250 0.000 0.379
```

Calculated values
As for the space group: P6_3/mcm (193).

---

Stability summary - winner: Q); margin: 0.137 eV/atom.

---

P) The following is a PBEsol calculation of a relaxed structure of LaP2Rh, from Alexandria.

Cell and atoms, written as POSCAR:
```
LaP2Rh
1.0
3.943 0.000 0.000
0.000 4.423 -0.046
0.000 -0.759 4.402
P Rh La
2 1 1
Direct
0.000 0.250 0.375
0.000 0.750 0.625
0.500 0.000 0.500
0.500 0.500 0.000
```

Calculated values
As for the space group: P2/m (10).

---

Q) The following is a PBEsol calculation of a relaxed structure of LaP2Rh, from Alexandria.

Cell and atoms, written as POSCAR:
```
LaP2Rh
1.0
-3.369 1.979 -0.182
-3.278 -1.818 -1.118
-3.258 -1.245 4.735
P Rh La
2 1 1
Direct
0.277 0.277 0.169
0.723 0.723 0.831
0.000 0.000 0.000
0.500 0.500 0.500
```

Calculated values
As for the space group: R-3m (166).

---

Stability summary - winner: Q); margin: 0.060 eV/atom.

---

P) The following is a PBEsol calculation of a relaxed structure of LaTcP, from Alexandria.

Cell and atoms, written as POSCAR:
```
LaTcP
1.0
3.157 0.000 0.000
0.000 3.157 0.000
-1.578 -1.578 5.469
La P Tc
1 1 1
Direct
0.001 0.001 0.002
0.705 0.705 0.411
0.294 0.294 0.587
```

Calculated values
As for the space group: I4mm (107).

---

Q) The following is a PBEsol calculation of a relaxed structure of LaTcP, from Alexandria.

Cell and atoms, written as POSCAR:
```
LaTcP
1.0
4.043 0.000 0.000
-2.022 3.501 0.000
0.000 0.000 4.339
P Tc La
1 1 1
Direct
0.667 0.333 0.500
0.333 0.667 0.500
0.000 0.000 0.000
```

Calculated values
As for the space group: P-6m2 (187).

---

Stability summary - winner: Q); margin: 0.084 eV/atom.

---

P) The following is a PBEsol calculation of a relaxed structure of LaTlP2, from Alexandria.

Cell and atoms, written as POSCAR:
```
LaTlP2
1.0
-4.826 -2.213 3.592
5.705 -1.462 2.529
-0.035 2.663 5.830
P Tl La
4 2 2
Direct
0.966 0.341 0.125
0.034 0.909 0.625
0.466 0.125 0.909
0.534 0.625 0.341
0.500 0.250 0.250
0.000 0.000 0.000
0.500 0.750 0.750
0.000 0.500 0.500
```

Calculated values
As for the space group: I-42d (122).

---

Q) The following is a PBEsol calculation of a relaxed structure of LaTlP2, from Alexandria.

Cell and atoms, written as POSCAR:
```
LaTlP2
1.0
-2.935 2.558 0.748
-1.949 -2.819 1.993
2.925 1.782 5.380
La P Tl
1 2 1
Direct
0.500 0.500 0.500
0.000 0.000 0.675
0.000 0.000 0.325
0.500 0.500 0.000
```

Calculated values
As for the space group: P4/mmm (123).

---

Stability summary - winner: Q); margin: 0.204 eV/atom.